Density functional theory data (PBE) for an optimized crystal structure of Pm5Eu3H12.

The calculation puts the final energy at -823.5 eV for the cell shown.

The space group is Ia-3d (No. 230) and the conventional cell measures 13.731, 13.731 and 13.731 Å, with angles of 90.00, 90.00 and 90.00 degrees. The inequivalent atoms are Pm at (0.000, 0.000, 0.000), Pm at (0.000, 0.250, 0.375), Eu at (0.000, 0.250, 0.125) and H at (0.007, 0.065, 0.656).

Density functional theory data (PBE) for an optimized crystal structure of AlZn2Cu2.

The calculation puts the energy above the most stable polymorph in this dataset at 39 meV/atom.

The space group is P4/mbm (No. 127) and the conventional cell measures 7.381, 7.381 and 2.628 Å, with angles of 90.00, 90.00 and 90.00 degrees. The inequivalent atoms are Al at (0.000, 0.000, 0.000), Zn at (0.121, 0.379, 0.000) and Cu at (0.178, 0.678, 0.500).

Density functional theory data (PBE) for an optimized crystal structure of TbCoSi2Rh.

The formation energy without anion corrections is -0.96 eV/atom.

The space group is I-4m2 (No. 119) and the conventional cell measures 3.977, 3.977 and 9.937 Å, with angles of 90.00, 90.00 and 90.00 degrees. The inequivalent atoms are Tb at (0.000, 0.000, 0.000), Co at (0.000, 0.500, 0.250), Si at (0.000, 0.000, 0.376) and Rh at (0.000, 0.500, 0.750).

Density functional theory data (PBE) for an optimized crystal structure of BePdSe.

The formation energy without anion corrections is -0.41 eV/atom.

The space group is P2_1 (No. 4) and the conventional cell measures 3.553, 3.304 and 9.339 Å, with angles of 90.00, 95.99 and 90.00 degrees. The inequivalent atoms are Be at (0.204, 0.000, 0.337), Pd at (0.275, 0.999, 0.587) and Se at (0.335, 0.499, 0.803).

Density functional theory data (PBE) for an optimized crystal structure of Pr7ErCd2.

The calculation puts the final energy at -72.4 eV for the cell shown.

The space group is Cmmm (No. 65) and the conventional cell measures 9.167, 16.417 and 5.362 Å, with angles of 90.00, 90.00 and 90.00 degrees. The inequivalent atoms are Pr at (0.000, 0.000, 0.000), Pr at (0.000, 0.279, 0.500), Pr at (0.183, 0.384, 0.000), Er at (0.000, 0.500, 0.500) and Cd at (0.000, 0.196, 0.000).

Density functional theory data (PBE) for an optimized crystal structure of Cs2Ba2O3.

The calculation puts the energy above the most stable polymorph in this dataset at 0 meV/atom. The formation energy without anion corrections is -1.81 eV/atom.

The space group is P2_1/c (No. 14) and the conventional cell measures 7.630, 7.816 and 7.806 Å, with angles of 90.00, 118.43 and 90.00 degrees. The inequivalent atoms are Cs at (0.152, 0.152, 0.415), Ba at (0.336, 0.624, 0.573), O at (0.000, 0.000, 0.000) and O at (0.368, 0.588, 0.252).

Density functional theory data (PBE) for an optimized crystal structure of SmCdGePd.

The calculation puts the final energy at -70.1 eV for the cell shown.

The space group is F-43m (No. 216) and the conventional cell measures 6.935, 6.935 and 6.935 Å, with angles of 90.00, 90.00 and 90.00 degrees. The inequivalent atoms are Sm at (0.000, 0.000, 0.000), Cd at (0.000, 0.000, 0.500), Ge at (0.250, 0.250, 0.250) and Pd at (0.250, 0.250, 0.750).

Density functional theory data (PBE) for an optimized crystal structure of La2CdSiS.

The calculation puts the energy above the most stable polymorph in this dataset at 0 meV/atom. The formation energy without anion corrections is -0.48 eV/atom.

The space group is P4/mmm (No. 123) and the conventional cell measures 5.459, 5.459 and 4.907 Å, with angles of 90.00, 90.00 and 90.00 degrees. The inequivalent atoms are La at (0.000, 0.500, 0.000), Cd at (0.000, 0.000, 0.500), Si at (0.500, 0.500, 0.500) and S at (0.000, 0.000, 0.000).

Density functional theory data (PBE) for an optimized crystal structure of BeAs2SeN.

The calculation puts the energy above the most stable polymorph in this dataset at 0 meV/atom. The formation energy without anion corrections is 1.07 eV/atom.

The space group is P4/mmm (No. 123) and the conventional cell measures 4.268, 4.268 and 4.488 Å, with angles of 90.00, 90.00 and 90.00 degrees. The inequivalent atoms are Be at (0.000, 0.000, 0.000), As at (0.000, 0.500, 0.500), Se at (0.500, 0.500, 0.000) and N at (0.500, 0.500, 0.500).

Density functional theory data (PBE) for an optimized crystal structure of Pm4GaAsBr2.

The formation energy without anion corrections is -1.17 eV/atom.

The space group is P2/m (No. 10) and the conventional cell measures 7.378, 4.294 and 7.597 Å, with angles of 90.00, 109.22 and 90.00 degrees. The inequivalent atoms are Pm at (0.236, 0.000, 0.216), Pm at (0.260, 0.500, 0.787), Ga at (0.000, 0.500, 0.000), As at (0.500, 0.000, 0.000), Br at (0.000, 0.000, 0.500) and Br at (0.500, 0.500, 0.500).

Density functional theory data (PBE) for an optimized crystal structure of Sc2ZnS.

The calculation puts the energy above the most stable polymorph in this dataset at 137 meV/atom. The formation energy without anion corrections is -0.97 eV/atom.

The space group is R3m (No. 160, hexagonal axes) and the conventional cell measures 3.5350, 3.5350 and 21.7184 Å, with angles of 90.00, 90.00 and 120.00 degrees. The inequivalent atoms are Sc at (0.0000, 0.0000, 0.0000), Sc at (0.0000, 0.0000, 0.1918), Zn at (0.0000, 0.0000, 0.4290) and S at (0.0000, 0.0000, 0.5975).

Density functional theory data (PBE) for an optimized crystal structure of GaSbIN2.

The calculation puts the energy above the most stable polymorph in this dataset at 0 meV/atom. The formation energy without anion corrections is 1.12 eV/atom.

The space group is P4/mmm (No. 123) and the conventional cell measures 4.166, 4.166 and 6.907 Å, with angles of 90.00, 90.00 and 90.00 degrees. The inequivalent atoms are Ga at (0.000, 0.000, 0.000), Sb at (0.500, 0.500, 0.500), I at (0.500, 0.500, 0.000) and N at (0.000, 0.500, 0.500).

Density functional theory data (PBE) for an optimized crystal structure of Li2CoPt.

The calculation puts the energy above the most stable polymorph in this dataset at 213 meV/atom.

The space group is Fm-3m (No. 225) and the conventional cell measures 5.808, 5.808 and 5.808 Å, with angles of 90.00, 90.00 and 90.00 degrees. The inequivalent atoms are Li at (0.250, 0.250, 0.250), Co at (0.000, 0.000, 0.000) and Pt at (0.000, 0.000, 0.500).

Density functional theory data (PBE) for an optimized crystal structure of TaCd.

The calculation puts the final energy at -40.7 eV for the cell shown.

The space group is Fm-3m (No. 225) and the conventional cell measures 5.567, 5.567 and 5.567 Å, with angles of 90.00, 90.00 and 90.00 degrees. The inequivalent atoms are Ta at (0.000, 0.000, 0.000) and Cd at (0.000, 0.000, 0.500).

Density functional theory data (PBE) for an optimized crystal structure of Cs2CdPdCl6.

The calculation puts the energy above the most stable polymorph in this dataset at 0 meV/atom. The formation energy without anion corrections is -1.27 eV/atom.

The space group is I4/mmm (No. 139) and the conventional cell measures 7.365, 7.365 and 11.287 Å, with angles of 90.00, 90.00 and 90.00 degrees. The inequivalent atoms are Cs at (0.000, 0.500, 0.250), Cd at (0.000, 0.000, 0.000), Pd at (0.000, 0.000, 0.500), Cl at (0.000, 0.000, 0.215) and Cl at (0.226, 0.226, 0.500).

Density functional theory data (PBE) for an optimized crystal structure of TlSiP.

The calculation puts the energy above the most stable polymorph in this dataset at 0 meV/atom. The formation energy without anion corrections is 0.06 eV/atom.

The space group is P3m1 (No. 156) and the conventional cell measures 3.5778, 3.5778 and 6.0345 Å, with angles of 90.00, 90.00 and 120.00 degrees. The inequivalent atoms are Tl at (0.0000, 0.0000, 0.0000), Si at (0.6667, 0.3333, 0.4059) and P at (0.3333, 0.6667, 0.5831).

Density functional theory data (PBE) for an optimized crystal structure of Tc2RuCl.

The calculation puts the energy above the most stable polymorph in this dataset at 367 meV/atom. The formation energy without anion corrections is 0.65 eV/atom.

The space group is Immm (No. 71) and the conventional cell measures 2.889, 4.413 and 8.933 Å, with angles of 90.00, 90.00 and 90.00 degrees. The inequivalent atoms are Tc at (0.000, 0.000, 0.226), Ru at (0.000, 0.500, 0.000) and Cl at (0.000, 0.500, 0.500).

Density functional theory data (PBE) for an optimized crystal structure of ErTlPbCl6.

The formation energy without anion corrections is -1.66 eV/atom.

The space group is P-31c (No. 163) and the conventional cell measures 7.3153, 7.3153 and 13.4959 Å, with angles of 90.00, 90.00 and 120.00 degrees. The inequivalent atoms are Er at (0.3333, 0.6667, 0.2500), Tl at (0.0000, 0.0000, 0.0000), Pb at (0.3333, 0.6667, 0.7500) and Cl at (0.0293, 0.3818, 0.1378).

Density functional theory data (PBE) for an optimized crystal structure of NbCrI2.

The calculation puts the energy above the most stable polymorph in this dataset at 0 meV/atom. The formation energy without anion corrections is 0.75 eV/atom.

The space group is I-42d (No. 122) and the conventional cell measures 5.812, 5.812 and 14.899 Å, with angles of 90.00, 90.00 and 90.00 degrees. The inequivalent atoms are Nb at (0.000, 0.000, 0.000), Cr at (0.000, 0.000, 0.500) and I at (0.234, 0.250, 0.625).

Density functional theory data (PBE) for an optimized crystal structure of CaMgW2.

The calculation puts the final energy at -106.6 eV for the cell shown.

The space group is F-43m (No. 216) and the conventional cell measures 6.692, 6.692 and 6.692 Å, with angles of 90.00, 90.00 and 90.00 degrees. The inequivalent atoms are Ca at (0.000, 0.000, 0.000), Mg at (0.250, 0.250, 0.250), W at (0.000, 0.000, 0.500) and W at (0.250, 0.250, 0.750).